Arrangement a

Computed, not measured: SrSb2Br after structural relaxation at the PBE level of DFT.

```
SrSb2Br
1.0
-2.229 -5.693 -0.211
5.086 -2.984 -1.625
-2.023 3.341 4.708
Sb Sr Br
2 1 1
direct
0.784 0.284 0.500
0.981 0.981 0.000
0.480 0.480 0.000
0.255 0.755 0.500
```

Results
SG = Imm2


Arrangement b

Computed, not measured: SrSb2Br after structural relaxation at the PBE level of DFT.

```
SrSb2Br
1.0
5.585 0.000 0.000
2.793 4.837 0.000
2.793 1.612 4.560
Sb Sr Br
2 1 1
direct
0.000 0.000 0.000
0.250 0.250 0.250
0.750 0.750 0.750
0.500 0.500 0.500
```

Results
SG = F-43m


Relative energies with respect to the most stable structure, expressed in meV per atom: arrangement a 0; arrangement b 188.


Arrangement a

Computed, not measured: SrSbBr2 after structural relaxation at the PBE level of DFT.

```
SrSbBr2
1.0
-2.352 3.343 3.057
-3.814 0.397 -3.369
-2.183 -3.426 2.067
Br Sr Sb
2 1 1
direct
0.000 0.000 0.000
0.500 0.500 0.000
0.000 0.500 0.500
0.500 0.000 0.500
```

Results
SG = P4/mmm


Arrangement b

Computed, not measured: SrSbBr2 after structural relaxation at the PBE level of DFT.

```
SrSbBr2
1.0
-4.349 5.121 9.667
-7.549 5.633 7.061
-7.117 2.062 9.148
Br Sr Sb
2 1 1
direct
0.031 0.031 0.031
0.469 0.469 0.469
0.750 0.750 0.750
0.250 0.250 0.250
```

Results
SG = R-3m


Relative energies with respect to the most stable structure, expressed in meV per atom: arrangement a 152; arrangement b 0.